The following is a PBE calculation of a relaxed structure of TlGa3Ag10, from the Alexandria database.

Calculated values
Energy = -2.74 eV/atom
Total magnetization = 0.00 μB per formula unit
Density = 8.847 g/cm³
Formation energy = 0.114 eV per atom

a = 9.2528 Å, b = 9.2528 Å, c = 9.2528 Å
α = 60.00°, β = 60.00°, γ = 60.00°
Last column: nearest neighbours and their distance in Å.
Fractional coordinates of all 28 atoms:
Tl1 0.2500 0.2500 0.2500  4 Ag 2.94
Tl2 0.7500 0.7500 0.7500  4 Ag 2.94
Ga1 0.2314 0.2314 0.7686  8 Ag 2.58-2.66
Ga2 0.2314 0.7686 0.2314  8 Ag 2.58-2.66
Ga3 0.2314 0.7686 0.7686  8 Ag 2.58-2.66
Ga4 0.7686 0.2314 0.2314  8 Ag 2.58-2.66
Ga5 0.7686 0.2314 0.7686  8 Ag 2.58-2.66
Ga6 0.7686 0.7686 0.2314  8 Ag 2.58-2.66
Ag1 0.1205 0.1205 0.1205  3 Ga 2.66, 1 Tl 2.94
Ag2 0.1205 0.1205 0.6386  3 Ga 2.66, 1 Tl 2.94
Ag3 0.1205 0.6386 0.1205  3 Ga 2.66, 1 Tl 2.94
Ag4 0.1549 0.5000 0.5000  2 Ga 2.58, 1 Ag 2.87
Ag5 0.1549 0.5000 0.8451  2 Ga 2.58, 1 Ag 2.87
Ag6 0.1549 0.8451 0.5000  2 Ga 2.58, 1 Ag 2.87
Ag7 0.3614 0.8795 0.8795  3 Ga 2.66, 1 Tl 2.94
Ag8 0.5000 0.1549 0.5000  2 Ga 2.58, 1 Ag 2.87
Ag9 0.5000 0.1549 0.8451  2 Ga 2.58, 1 Ag 2.87
Ag10 0.5000 0.5000 0.1549  2 Ga 2.58, 1 Ag 2.87
Ag11 0.5000 0.5000 0.8451  2 Ga 2.58, 1 Ag 2.87
Ag12 0.5000 0.8451 0.1549  2 Ga 2.58, 1 Ag 2.87
Ag13 0.5000 0.8451 0.5000  2 Ga 2.58, 1 Ag 2.87
Ag14 0.6386 0.1205 0.1205  3 Ga 2.66, 1 Tl 2.94
Ag15 0.8451 0.1549 0.5000  2 Ga 2.58, 1 Ag 2.87
Ag16 0.8451 0.5000 0.1549  2 Ga 2.58, 1 Ag 2.87
Ag17 0.8451 0.5000 0.5000  2 Ga 2.58, 1 Ag 2.87
Ag18 0.8795 0.3614 0.8795  3 Ga 2.66, 1 Tl 2.94
Ag19 0.8795 0.8795 0.3614  3 Ga 2.66, 1 Tl 2.94
Ag20 0.8795 0.8795 0.8795  3 Ga 2.66, 1 Tl 2.94